1.
MgSc5C2 | PBE-GGA | optimized geometry

Results
volume	17.96	Å³/atom
DFT formation energy	-0.212	eV/atom
magnetic moment	0.0	μB per cell

Unit cell a=3.440 b=6.140 c=7.659 alpha=113.63 beta=102.98 gamma=90.00
Atoms (fractional coordinates):
1 Mg 0.000 0.000 0.000
2 Sc 0.000 0.500 0.000
3 Sc 0.661 0.415 0.322
4 Sc 0.339 0.585 0.678
5 Sc 0.661 0.907 0.322
6 Sc 0.339 0.093 0.678
7 C 0.185 0.685 0.371
8 C 0.815 0.315 0.629

=====

2.
MgSc3C | PBE-GGA | optimized geometry

Results
volume	23.17	Å³/atom
DFT formation energy	-0.001	eV/atom
magnetic moment	0.0	μB per cell
energy above the most stable polymorph in this dataset	0.317	eV per atom

Unit cell a=8.686 b=8.686 c=8.686 alpha=60.00 beta=60.00 gamma=60.00
Atoms (fractional coordinates):
1 Sc 0.817 0.183 0.183
2 Sc 0.067 0.433 0.433
3 Sc 0.433 0.433 0.067
4 Sc 0.433 0.067 0.067
5 Sc 0.067 0.433 0.067
6 Sc 0.817 0.183 0.817
7 Sc 0.433 0.067 0.433
8 Sc 0.067 0.067 0.433
9 Sc 0.183 0.817 0.183
10 Sc 0.183 0.817 0.817
11 Sc 0.183 0.183 0.817
12 Sc 0.817 0.817 0.183
13 Mg 0.625 0.625 0.625
14 Mg 0.625 0.125 0.625
15 Mg 0.125 0.625 0.625
16 Mg 0.625 0.625 0.125
17 C 0.125 0.125 0.125
18 C 0.125 0.625 0.125
19 C 0.625 0.125 0.125
20 C 0.125 0.125 0.625

=====

3.
MgSc3C | PBE-GGA | optimized geometry

Results
volume	19.54	Å³/atom
DFT formation energy	-0.082	eV/atom
magnetic moment	0.0	μB per cell
energy above the most stable polymorph in this dataset	0.235	eV per atom

Unit cell a=3.516 b=6.082 c=9.135 alpha=90.00 beta=90.00 gamma=90.00
Atoms (fractional coordinates):
1 Sc 0.750 0.500 0.130
2 Sc 0.250 0.500 0.870
3 Sc 0.750 0.000 0.130
4 Sc 0.250 0.000 0.870
5 Sc 0.750 0.250 0.657
6 Sc 0.250 0.750 0.343
7 Mg 0.250 0.250 0.378
8 Mg 0.750 0.750 0.622
9 C 0.750 0.250 0.907
10 C 0.250 0.750 0.093

=====

4.
MgScC3 | PBE-GGA | optimized geometry

Results
volume	12.79	Å³/atom
DFT formation energy	2.027	eV/atom
magnetic moment	0.0	μB per cell
energy above the most stable polymorph in this dataset	0.021	eV per atom

Unit cell a=3.999 b=3.999 c=3.999 alpha=90.00 beta=90.00 gamma=90.00
Atoms (fractional coordinates):
1 Sc 0.500 0.500 0.500
2 Mg 0.000 0.000 0.000
3 C 0.000 0.500 0.000
4 C 0.000 0.000 0.500
5 C 0.500 0.000 0.000

=====

5.
MgSc3C | PBE-GGA | optimized geometry

Results
volume	22.28	Å³/atom
DFT formation energy	-0.012	eV/atom
magnetic moment	0.0	μB per cell
energy above the most stable polymorph in this dataset	0.306	eV per atom

Unit cell a=3.774 b=3.774 c=18.056 alpha=90.00 beta=90.00 gamma=120.00
Atoms (fractional coordinates):
1 Sc 0.000 0.000 0.250
2 Sc 0.000 0.000 0.750
3 Sc 0.333 0.667 0.873
4 Sc 0.333 0.667 0.627
5 Sc 0.667 0.333 0.373
6 Sc 0.667 0.333 0.127
7 Mg 0.000 0.000 0.000
8 Mg 0.000 0.000 0.500
9 C 0.333 0.667 0.750
10 C 0.667 0.333 0.250

=====

6.
MgSc3C | PBE-GGA | optimized geometry

Results
volume	22.25	Å³/atom
DFT formation energy	-0.130	eV/atom
magnetic moment	2.1	μB per cell
energy above the most stable polymorph in this dataset	0.188	eV per atom

Unit cell a=8.481 b=8.481 c=8.481 alpha=39.53 beta=39.53 gamma=39.53
Atoms (fractional coordinates):
1 Sc 0.452 0.099 0.787
2 Sc 0.099 0.787 0.452
3 Sc 0.213 0.548 0.901
4 Sc 0.901 0.213 0.548
5 Sc 0.548 0.901 0.213
6 Sc 0.787 0.452 0.099
7 Mg 0.336 0.336 0.336
8 Mg 0.664 0.664 0.664
9 C 0.164 0.164 0.164
10 C 0.836 0.836 0.836

=====

7.
MgSc3C | PBE-GGA | optimized geometry

Results
volume	20.53	Å³/atom
DFT formation energy	-0.204	eV/atom
magnetic moment	1.2	μB per cell
energy above the most stable polymorph in this dataset	0.114	eV per atom

Unit cell a=18.858 b=6.738 c=6.738 alpha=151.70 beta=146.77 gamma=33.23
Atoms (fractional coordinates):
1 Sc 0.368 0.590 0.410
2 Sc 0.632 0.410 0.590
3 Sc 0.140 0.257 0.743
4 Sc 0.860 0.743 0.257
5 Sc 0.617 0.667 0.333
6 Sc 0.383 0.333 0.667
7 Mg 0.890 0.953 0.047
8 Mg 0.110 0.047 0.953
9 C 0.631 0.027 0.973
10 C 0.369 0.973 0.027

=====

8.
Mg2Sc2C | PBE-GGA | optimized geometry

Results
volume	20.23	Å³/atom
DFT formation energy	-0.291	eV/atom
magnetic moment	0.0	μB per cell
energy above the most stable polymorph in this dataset	0.000	eV per atom

Unit cell a=3.316 b=3.314 c=10.800 alpha=90.04 beta=81.17 gamma=59.98
Atoms (fractional coordinates):
1 Mg 0.585 0.708 0.123
2 Mg 0.415 0.292 0.877
3 Sc 0.744 0.128 0.384
4 Sc 0.256 0.872 0.616
5 C 0.000 0.500 0.500